Entry 1:
A plane-wave DFT calculation with meta-GGA SCAN was carried out for a crystal of GdMgRh2 relaxed with PBEsol.

Calculated values
As for the symmetry: No. 225. As for the crystal system: cubic. Its formation energy is -701 meV per atom.

```
GdMgRh2
1.0
0.0000 3.2538 3.2538
3.2538 0.0000 3.2538
3.2538 3.2538 0.0000
Gd Mg Rh
1 1 2
direct
0.0000 0.0000 0.0000
0.5000 0.5000 0.5000
0.2500 0.2500 0.2500
0.7500 0.7500 0.7500
```

Entry 2:
A plane-wave DFT calculation with meta-GGA SCAN was carried out for a crystal of Gd2MgSe4 relaxed with PBEsol.

Calculated values
The raw formation energy is -1800 meV/atom. As for the symmetry: No. 122. As for the crystal system: tetragonal.

```
Gd2MgSe4
1.0
-4.2297 4.2297 4.4187
4.2297 -4.2297 4.4187
4.2297 4.2297 -4.4187
Gd Mg Se
4 2 8
direct
0.0009 0.6250 0.8759
0.3750 0.2509 0.3759
0.7491 0.1250 0.1241
0.8750 0.9991 0.6241
0.2500 0.7500 0.5000
0.5000 0.5000 0.0000
0.1240 0.3848 0.1213
0.1348 0.3740 0.6213
0.2636 0.0028 0.8787
0.4864 0.8652 0.2392
0.6152 0.7364 0.7392
0.6260 0.2472 0.7608
0.7528 0.5136 0.3787
0.9972 0.8760 0.2608
```

Entry 3:
A plane-wave DFT calculation with meta-GGA SCAN was carried out for a crystal of GdMgTl relaxed with PBEsol.

Calculated values
As for the symmetry: No. 189. As for the crystal system: hexagonal. Its formation energy is -507 meV per atom.

```
GdMgTl
1.0
7.5158 0.0000 0.0000
-3.7579 6.5089 0.0000
0.0000 0.0000 4.6278
Gd Mg Tl
3 3 3
direct
0.0000 0.5719 0.0000
0.4281 0.4281 0.0000
0.5719 0.0000 0.0000
0.0000 0.2432 0.5000
0.2432 0.0000 0.5000
0.7568 0.7568 0.5000
0.0000 0.0000 0.0000
0.3333 0.6667 0.5000
0.6667 0.3333 0.5000
```

Entry 4:
A plane-wave DFT calculation with meta-GGA SCAN was carried out for a crystal of Gd2MnSbO7 relaxed with PBEsol.

Calculated values
The raw formation energy is -2775 meV/atom. As for the symmetry: No. 74. As for the crystal system: orthorhombic.

```
Gd2MnSbO7
1.0
-3.5755 3.6884 5.1398
3.5755 -3.6884 5.1398
3.5755 3.6884 -5.1398
Gd Mn Sb O
4 2 2 14
direct
0.0000 0.0000 0.0000
0.5000 0.0000 0.0000
0.5000 0.0000 0.5000
0.5000 0.5000 0.5000
0.0000 0.0000 0.5000
0.0000 0.5000 0.0000
0.0000 0.5000 0.5000
0.5000 0.5000 0.0000
0.0785 0.8285 0.2500
0.0879 0.4189 0.2553
0.0879 0.8326 0.6691
0.3305 0.5805 0.7500
0.3365 0.1674 0.7553
0.3365 0.5811 0.1691
0.3739 0.1239 0.2500
0.6261 0.8761 0.7500
0.6635 0.4189 0.8309
0.6635 0.8326 0.2447
0.6695 0.4195 0.2500
0.9121 0.1674 0.3309
0.9121 0.5811 0.7447
0.9215 0.1715 0.7500
```

Entry 5:
A plane-wave DFT calculation with meta-GGA SCAN was carried out for a crystal of Gd2MoO6 relaxed with PBEsol.

Calculated values
The raw formation energy is -3151 meV/atom. As for the symmetry: No. 15. As for the crystal system: monoclinic.

```
Gd2MoO6
1.0
8.1975 -5.5489 0.0000
8.1975 5.5489 0.0000
-1.6646 0.0000 5.1196
Gd Mo O
8 4 24
direct
0.0527 0.2863 0.8816
0.1095 0.8905 0.7500
0.2863 0.0527 0.3816
0.3655 0.6345 0.2500
0.6345 0.3655 0.7500
0.7137 0.9473 0.6184
0.8905 0.1095 0.2500
0.9473 0.7137 0.1184
0.2032 0.4884 0.5621
0.4884 0.2032 0.0621
0.5116 0.7968 0.9379
0.7968 0.5116 0.4379
0.0674 0.4748 0.2639
0.0755 0.1082 0.0790
0.1082 0.0755 0.5790
0.1631 0.6892 0.4151
0.1732 0.6162 0.8667
0.2136 0.3189 0.6401
0.3108 0.8369 0.0849
0.3189 0.2136 0.1401
0.3838 0.8268 0.6333
0.3864 0.4523 0.5157
0.4523 0.3864 0.0157
0.4748 0.0674 0.7639
0.5252 0.9326 0.2361
0.5477 0.6136 0.9843
0.6136 0.5477 0.4843
0.6162 0.1732 0.3667
0.6811 0.7864 0.8599
0.6892 0.1631 0.9151
0.7864 0.6811 0.3599
0.8268 0.3838 0.1333
0.8369 0.3108 0.5849
0.8918 0.9245 0.4210
0.9245 0.8918 0.9210
0.9326 0.5252 0.7361
```

Entry 6:
A plane-wave DFT calculation with meta-GGA SCAN was carried out for a crystal of GdN relaxed with PBEsol.

Calculated values
The raw formation energy is -1792 meV/atom. As for the symmetry: No. 225. As for the crystal system: cubic.

```
GdN
1.0
0.0000 2.4622 2.4622
2.4622 0.0000 2.4622
2.4622 2.4622 0.0000
Gd N
1 1
direct
0.0000 0.0000 0.0000
0.5000 0.5000 0.5000
```

Entry 7:
A plane-wave DFT calculation with meta-GGA SCAN was carried out for a crystal of GdThN2 relaxed with PBEsol.

Calculated values
The raw formation energy is -1744 meV/atom. As for the symmetry: No. 166. As for the crystal system: trigonal.

```
GdThN2
1.0
1.7852 1.0307 5.7914
-1.7852 1.0307 5.7914
0.0000 -2.0614 5.7914
Gd Th N
1 1 2
direct
0.0000 0.0000 0.0000
0.5000 0.5000 0.5000
0.2501 0.2501 0.2501
0.7499 0.7499 0.7499
```

Entry 8:
A plane-wave DFT calculation with meta-GGA SCAN was carried out for a crystal of GdUN2 relaxed with PBEsol.

Calculated values
The raw formation energy is -1526 meV/atom. As for the symmetry: No. 166. As for the crystal system: trigonal.

```
GdUN2
1.0
1.7128 0.9889 5.6181
-1.7128 0.9889 5.6181
0.0000 -1.9778 5.6181
Gd U N
1 1 2
direct
0.0000 0.0000 0.0000
0.5000 0.5000 0.5000
0.2422 0.2422 0.2422
0.7578 0.7578 0.7578
```

Number 1: theoretical density 9.34 Mg/m³. Number 2: theoretical density 6.88 Mg/m³. Number 3: theoretical density 8.49 Mg/m³. Number 4: theoretical density 7.39 Mg/m³. Number 5: theoretical density 7.22 Mg/m³. Number 6: theoretical density 9.53 Mg/m³. Number 7: theoretical density 10.84 Mg/m³. Number 8: theoretical density 12.31 Mg/m³.